The following is a DFT calculation (PBE+U) of Na4VO4 after structural relaxation.

Summary:
total DFT energy (no corrections) = -96.53 eV/cell
ΔE to the lowest computed polymorph = 0 meV/atom

a b c (Å): 5.802 5.822 8.701
angles (deg): 85.59 70.84 68.68
Atoms (fractional coordinates):
Na 0.044 0.234 0.434
Na 0.207 0.767 0.182
Na 0.229 0.256 0.013
Na 0.454 0.260 0.601
Na 0.546 0.740 0.399
Na 0.771 0.744 0.987
Na 0.793 0.233 0.818
Na 0.956 0.766 0.566
V 0.401 0.782 0.758
V 0.599 0.218 0.242
O 0.196 0.978 0.640
O 0.216 0.647 0.926
O 0.323 0.474 0.374
O 0.438 0.024 0.199
O 0.562 0.976 0.801
O 0.677 0.526 0.626
O 0.784 0.353 0.074
O 0.804 0.022 0.360